Computed, not measured: Fe2HO after structural relaxation at the PBE+U level of DFT.

a = 3.738 Å, b = 3.738 Å, c = 3.738 Å
α = 60.00°, β = 60.00°, γ = 60.00°
Sites, in units of the cell vectors:
Fe  0.250  0.250  0.250
Fe  0.750  0.750  0.750
H  0.000  0.000  0.000
O  0.500  0.500  0.500

Results
The value obtained for the calculated volume is 37 Å³ per cell. The value obtained for the relative energy among the computed polymorphs is 0.3865 eV/atom. Its space group is Fm-3m, No. 225.